[1]
RePbBr2 | PBEsol | relaxed

a b c (Å): 3.329 4.981 4.981
angles (deg): 90.00 90.00 90.00
Sites, in units of the cell vectors:
Pb 0.500 0.500 0.500
Re 0.500 0.000 0.000
Br 0.000 0.000 0.500
Br 0.000 0.500 0.000

**Symmetry**: P4/mmm (123)
**Polymorph energy (0 for the lowest one)**: 2.62 eV/f.u.



[2]
Re2PbSeBr | PBEsol | relaxed

a b c (Å): 4.566 4.566 6.110
angles (deg): 90.00 90.00 90.00
Last column: magnetic moment on the atom in μB.
Sites, in units of the cell vectors:
Pb 0.000 0.000 0.500  -0.06
Re 0.000 0.500 0.000  1.31
Re 0.500 0.000 0.000  1.31
Se 0.000 0.000 0.000  -0.03
Br 0.500 0.500 0.500  0.12

**Symmetry**: P4/mmm (123)



[3]
RhPbBr2 | PBEsol | relaxed

a b c (Å): 4.138 5.049 5.457
angles (deg): 117.54 90.00 90.00
Sites, in units of the cell vectors:
Pb 0.000 0.426 0.853
Rh 0.500 0.260 0.519
Br 0.000 0.083 0.167
Br 0.500 0.731 0.461

**Symmetry**: Amm2 (38)
**Polymorph energy (0 for the lowest one)**: 0.00 eV/f.u.



[4]
Rh2PbBr | PBEsol | relaxed

a b c (Å): 3.246 4.435 5.309
angles (deg): 97.14 107.80 90.00
Sites, in units of the cell vectors:
Br 0.506 0.432 0.012
Pb 0.265 0.803 0.529
Rh 0.998 0.982 0.995
Rh 0.732 0.283 0.464

**Symmetry**: Cm (8)



[5]
RhPbBr2 | PBEsol | relaxed

a b c (Å): 3.472 3.472 7.721
angles (deg): 90.00 90.00 90.00
Sites, in units of the cell vectors:
Pb 0.000 0.000 0.522
Rh 0.500 0.500 0.800
Br 0.000 0.000 0.908
Br 0.500 0.500 0.270

**Symmetry**: P4mm (99)
**Polymorph energy (0 for the lowest one)**: 0.89 eV/f.u.



[6]
RhPbSe2Br | PBEsol | relaxed

a b c (Å): 5.332 5.332 5.456
angles (deg): 90.00 90.00 90.00
Last column: magnetic moment on the atom in μB.
Sites, in units of the cell vectors:
Pb 0.000 0.000 0.000  0.00
Rh 0.500 0.500 0.500  1.77
Se 0.000 0.500 0.000  0.18
Se 0.500 0.000 0.000  0.18
Br 0.000 0.000 0.500  0.06

**Symmetry**: P4/mmm (123)



[7]
Ru2PbBr | PBEsol | relaxed

a b c (Å): 3.035 4.406 5.315
angles (deg): 90.00 90.00 90.00
Sites, in units of the cell vectors:
Br 0.500 0.500 0.000
Pb 0.000 0.500 0.500
Ru 0.000 0.000 0.000
Ru 0.500 0.000 0.500

**Symmetry**: Pmmm (47)



[8]
Sn2RuPbBr | PBEsol | relaxed

a b c (Å): 5.109 5.739 5.739
angles (deg): 90.00 90.00 90.00
Last column: magnetic moment on the atom in μB.
Sites, in units of the cell vectors:
Pb 0.000 0.000 0.000  -0.01
Ru 0.500 0.000 0.000  1.87
Sn 0.000 0.000 0.500  0.00
Sn 0.000 0.500 0.000  0.00
Br 0.500 0.500 0.500  0.05

**Symmetry**: P4/mmm (123)



[9]
SrPb2SBr | PBEsol | relaxed

a b c (Å): 5.211 5.211 6.936
angles (deg): 90.00 90.00 90.00
Sites, in units of the cell vectors:
Pb 0.000 0.500 0.000
Pb 0.500 0.000 0.000
Sr 0.500 0.500 0.500
S 0.000 0.000 0.000
Br 0.000 0.000 0.500

**Symmetry**: P4/mmm (123)



[10]
SbPbBr2 | PBEsol | relaxed

a b c (Å): 4.323 4.323 6.702
angles (deg): 108.81 108.81 90.00
Sites, in units of the cell vectors:
Pb 0.500 0.500 0.000
Sb 0.250 0.750 0.500
Br 0.000 0.000 0.000
Br 0.750 0.250 0.500

**Symmetry**: I-4m2 (119)
**Polymorph energy (0 for the lowest one)**: 0.00 eV/f.u.



[11]
Sb2PbBr | PBEsol | relaxed

a b c (Å): 3.404 3.404 9.272
angles (deg): 90.00 90.00 90.00
Sites, in units of the cell vectors:
Pb 0.500 0.500 0.500
Sb 0.000 0.000 0.756
Sb 0.000 0.000 0.244
Br 0.500 0.500 0.000

**Symmetry**: P4/mmm (123)
**Polymorph energy (0 for the lowest one)**: 0.82 eV/f.u.



[12]
SbPbBr | PBEsol | relaxed

a b c (Å): 3.621 3.621 7.491
angles (deg): 90.00 90.00 120.00
Sites, in units of the cell vectors:
Pb 0.667 0.333 0.679
Sb 0.333 0.667 0.341
Br 0.000 0.000 0.980

**Symmetry**: P3m1 (156)
**Polymorph energy (0 for the lowest one)**: 0.00 eV/f.u.



| no. | total magnetic moment (μB per cell) | VASP energy (hartree per atom) |
| --- | --- | --- |
| 1 | 0.01 | -0.15460 |
| 2 | 3.15 | -0.20841 |
| 3 | 0.00 | -0.15405 |
| 4 | 0.00 | -0.19212 |
| 5 | 0.00 | -0.14583 |
| 6 | 2.50 | -0.11942 |
| 7 | 0.00 | -0.20909 |
| 8 | 2.21 | -0.13688 |
| 9 | 0.00 | -0.12437 |
| 10 | 0.00 | -0.11844 |
| 11 | 0.00 | -0.13425 |
| 12 | 0.00 | -0.13147 |